First-principles (PBE) data for crystalline TlSnTe2 at its relaxed geometry, as listed in the Alexandria database.

abc: 4.361 4.361 8.609
angles: 75.33 75.33 60.00
Positions (direct):
1 Tl 0.499 0.499 0.502
2 Sn 0.667 0.667 0.999
3 Te 0.073 0.073 0.781
4 Te 0.260 0.260 0.219

Values from the calculation:
DOS at the Fermi energy	2.4	states/eV per cell
formation energy (no corrections)	-248	meV/atom